VASP calculation (PBE-GGA) on crystalline SrNdHo2 at its relaxed geometry.

Properties
* formation energy from the elements: 0.1970 eV per atom
* ΔE to the lowest computed polymorph: 71 meV/atom

a b c (Å): 5.2409 5.2409 5.2039
angles (deg): 90.00 90.00 90.00
Closest atoms and distances in Å follow each position.
Space group P4/mmm (No. 123)
Asymmetric unit:
Sr: 0.0000 0.0000 0.0000 x1  8 Ho 3.69, 4 Nd 3.71
Nd: 0.5000 0.5000 0.0000 x1  8 Ho 3.69, 4 Sr 3.71
Ho: 0.0000 0.5000 0.5000 x2  4 Nd 3.69, 4 Sr 3.69, 4 Ho 3.71